(1)
Density functional theory data (PBE-GGA) for a relaxed structure of BaP.

The density of states at the Fermi level is 0.9 states/eV/f.u. The total energy comes out at -4.500 eV per atom. Its formation energy is -1.67 eV per formula unit.

The structure belongs to space group C2/m (No. 12); the cell edges are 9.2826, 6.1886 and 6.6383 Å and the angles 90.00°, 92.81° and 90.00°. Symmetry generates all atoms from Ba at (0.0000, 0.0000, 0.0000), Ba at (0.1695, 0.5000, 0.6150), P at (0.0000, 0.0000, 0.5000) and P at (0.1034, 0.5000, 0.0871).

(2)
Density functional theory data (PBE-GGA) for a relaxed structure of Ba3P14.

The density of states at the Fermi level is 0.0 states/eV/f.u. The total energy comes out at -5.302 eV per atom. Its formation energy is -8.62 eV per formula unit.

The structure belongs to space group P2_1/c (No. 14); the cell edges are 6.5630, 13.2440 and 12.2160 Å and the angles 90.00°, 122.16° and 90.00°. Symmetry generates all atoms from Ba at (0.0000, 0.0000, 0.0000), Ba at (0.1828, 0.1528, 0.3876), P at (0.0493, 0.1526, 0.6518), P at (0.2596, 0.2242, 0.1443), P at (0.2762, 0.0126, 0.6868), P at (0.2957, 0.0878, 0.8570), P at (0.3751, 0.7146, 0.7270), P at (0.3870, 0.6823, 0.5538) and P at (0.4111, 0.5638, 0.8138).

(3)
Density functional theory data (PBE-GGA) for a relaxed structure of Ba5P2.

The density of states at the Fermi level is 4.9 states/eV/f.u. The total energy comes out at -3.565 eV per atom. Its formation energy is -4.52 eV per formula unit.

The structure belongs to space group C2/c (No. 15); the cell edges are 19.3385, 7.5917 and 8.3825 Å and the angles 90.00°, 96.32° and 90.00°. Symmetry generates all atoms from Ba at (0.0000, 0.0704, 0.2500), Ba at (0.0945, 0.4264, 0.9116), Ba at (0.2049, 0.0641, 0.3194) and P at (0.1049, 0.1874, 0.5852).

(4)
Density functional theory data (PBE-GGA) for a relaxed structure of Ba6P.

The density of states at the Fermi level is 11.6 states/eV/f.u. The total energy comes out at -2.706 eV per atom. Its formation energy is -1.99 eV per formula unit.

The structure belongs to space group Pnma (No. 62); the cell edges are 15.2495, 13.8111 and 8.0112 Å and the angles 90.00°, 90.00° and 90.00°. Symmetry generates all atoms from Ba at (0.0008, 0.2500, 0.2331), Ba at (0.0015, 0.0880, 0.7471), Ba at (0.2435, 0.0921, 0.0777), Ba at (0.2466, 0.2500, 0.5964) and P at (0.1179, 0.2500, 0.9090).